No. 1
Computed, not measured: a PBEsol-optimized structure of CaMnCu2 at the SCAN level of DFT.

Output
* DFT formation energy: 0.313 eV/f.u.
* final energy: -58.0 eV for the cell shown
* SG: P4mm
* total magnetic moment: 4.23 μB/cell

POSCAR file:
```
CaMnCu2
1.0
3.187 0.000 0.000
0.000 3.187 0.000
0.000 0.000 6.608
Ca Mn Cu
1 1 2
Direct
0.000 0.000 0.000
0.500 0.500 0.655
0.000 0.000 0.470
0.500 0.500 0.287
```

---

No. 2
Computed, not measured: a PBEsol-optimized structure of CaMnCu2 at the SCAN level of DFT.

Output
* DFT formation energy: 0.266 eV/f.u.
* final energy: -116.1 eV for the cell shown
* SG: Immm
* total magnetic moment: 8.61 μB/cell

POSCAR file:
```
CaMnCu2
1.0
4.471 0.000 0.000
0.000 4.561 0.000
0.000 0.000 6.402
Ca Mn Cu
2 2 4
Direct
0.000 0.000 0.000
0.500 0.500 0.500
0.000 0.000 0.500
0.500 0.500 0.000
0.000 0.500 0.242
0.000 0.500 0.758
0.500 0.000 0.258
0.500 0.000 0.742
```

---

No. 3
Computed, not measured: a PBEsol-optimized structure of Ca3MnCu at the SCAN level of DFT.

Output
* DFT formation energy: 3.458 eV/f.u.
* final energy: -59.0 eV for the cell shown
* SG: Pm-3m
* total magnetic moment: 2.28 μB/cell

POSCAR file:
```
Ca3MnCu
1.0
5.272 0.000 0.000
0.000 5.272 0.000
0.000 0.000 5.272
Ca Mn Cu
3 1 1
Direct
0.000 0.000 0.500
0.000 0.500 0.000
0.500 0.000 0.000
0.000 0.000 0.000
0.500 0.500 0.500
```

---

No. 4
Computed, not measured: a PBEsol-optimized structure of CaMn2Cu3Ru2O12 at the SCAN level of DFT.

Output
* final energy: -268.2 eV for the cell shown
* SG: C2/m
* total magnetic moment: 7.01 μB/cell

POSCAR file:
```
CaMn2Cu3Ru2O12
1.0
5.126 -3.624 0.000
5.126 3.624 0.000
-5.119 0.000 5.134
Ca Mn Cu Ru O
1 2 3 2 12
Direct
0.000 0.000 0.000
0.000 0.500 0.500
0.500 0.000 0.500
0.000 0.000 0.500
0.500 0.500 0.000
0.500 0.500 0.500
0.000 0.500 0.000
0.500 0.000 0.000
0.129 0.519 0.817
0.170 0.819 0.689
0.181 0.830 0.311
0.305 0.305 0.481
0.307 0.307 0.130
0.481 0.871 0.183
0.519 0.129 0.817
0.693 0.693 0.870
0.695 0.695 0.519
0.819 0.170 0.689
0.830 0.181 0.311
0.871 0.481 0.183
```

---

No. 5
Computed, not measured: a PBEsol-optimized structure of CaZrMnCu2 at the SCAN level of DFT.

Output
* DFT formation energy: 4.236 eV/f.u.
* final energy: -84.8 eV for the cell shown
* SG: P4/mmm
* total magnetic moment: 4.43 μB/cell

POSCAR file:
```
CaZrMnCu2
1.0
4.553 0.000 0.000
0.000 4.553 0.000
0.000 0.000 4.592
Ca Zr Mn Cu
1 1 1 2
Direct
0.000 0.000 0.000
0.500 0.500 0.000
0.000 0.000 0.500
0.000 0.500 0.500
0.500 0.000 0.500
```

---

No. 6
Computed, not measured: a PBEsol-optimized structure of CaCu2Mo at the SCAN level of DFT.

Output
* DFT formation energy: 2.059 eV/f.u.
* final energy: -145.8 eV for the cell shown
* E above lowest polymorph: 0.27 eV/f.u.
* SG: C2/m
* total magnetic moment: 0.00 μB/cell

POSCAR file:
```
CaCu2Mo
1.0
8.557 0.000 0.000
0.000 2.705 0.000
-0.688 0.000 5.899
Ca Cu Mo
2 4 2
Direct
0.000 0.000 0.000
0.500 0.500 0.000
0.243 0.000 0.678
0.257 0.500 0.322
0.743 0.500 0.678
0.757 0.000 0.322
0.000 0.500 0.500
0.500 0.000 0.500
```